Compound: CdPPt2
Source: the Alexandria database
Functional: GGA-PBE
Structure: optimized geometry

Cell and atoms, written as POSCAR:
```
CdPPt2
1.0
-5.6105 3.7574 1.6640
-4.9119 0.4159 4.9056
6.5119 -0.2880 -2.4241
Cd P Pt
1 1 2
direct
0.4456 0.4456 0.0000 Cd
0.2150 0.7150 0.5000 P
0.0710 0.0710 0.0000 Pt
0.7684 0.2684 0.5000 Pt
```

Output
The crystal system is orthorhombic. As for the space group: Imm2.

***

Compound: YTm2Al
Source: the Alexandria database
Functional: GGA-PBE
Structure: optimized geometry

Cell and atoms, written as POSCAR:
```
YTm2Al
1.0
-0.2148 -3.0256 1.5883
0.1526 -2.9001 -1.8135
11.2717 -2.1399 1.1388
Y Tm Al
1 2 1
direct
0.0000 0.0000 0.0000 Y
0.0999 0.0999 0.7004 Tm
0.9001 0.9001 0.2996 Tm
0.5000 0.5000 0.5000 Al
```

Output
The crystal system is trigonal. As for the space group: R-3m.

***

Compound: Ba3AgRu
Source: the Alexandria database
Functional: GGA-PBE
Structure: optimized geometry

Cell and atoms, written as POSCAR:
```
Ba3AgRu
1.0
5.8970 0.0000 0.0000
0.0000 5.8970 0.0000
0.0000 0.0000 5.8970
Ru Ba Ag
1 3 1
direct
0.0000 0.0000 0.0000 Ru
0.0000 0.5000 0.0000 Ba
0.0000 0.0000 0.5000 Ba
0.5000 0.0000 0.0000 Ba
0.5000 0.5000 0.5000 Ag
```

Output
The crystal system is cubic. As for the space group: Pm-3m.

***

Compound: Pr2Mg2Sn3
Source: the Alexandria database
Functional: GGA-PBE
Structure: optimized geometry

Cell and atoms, written as POSCAR:
```
Pr2Mg2Sn3
1.0
4.6385 0.0000 1.0282
2.1862 8.2660 1.1144
0.0762 -0.2735 10.6331
Pr Mg Sn
4 4 6
direct
0.2663 0.1362 0.3313 Pr
0.7337 0.8638 0.6687 Pr
0.4106 0.2457 0.9332 Pr
0.5894 0.7543 0.0668 Pr
0.0503 0.2205 0.6789 Mg
0.9497 0.7795 0.3211 Mg
0.4044 0.5244 0.6668 Mg
0.5956 0.4756 0.3332 Mg
0.0938 0.9407 0.8717 Sn
0.9062 0.0593 0.1283 Sn
0.1715 0.4915 0.1655 Sn
0.8285 0.5085 0.8345 Sn
0.3717 0.7842 0.4724 Sn
0.6283 0.2158 0.5276 Sn
```

Output
The crystal system is monoclinic. As for the space group: C2/m.

***

Computed values of total magnetic moment (unit: μB/f.u.) for the preceding records, in sequence: 0.00, 1.01, 0.00, 0.00.
Computed values of E_form (unit: eV per atom) for the preceding records, in sequence: -0.24, 0.11, 0.20, -0.51.
Computed values of final energy (unit: eV per atom) for the preceding records, in sequence: -4.84, -4.68, -3.38, -4.05.